Material: TlSN3
Method: DFT, PBE
State: optimized geometry

Computed properties:
**E_form (uncorrected)**: 917 kJ/mol of formula units
**DOS(E_F)**: 3.1 states/eV/f.u.
**Magnetic moment**: 0.00 μB per atom

```
5
Lattice="3.733 0.000 0.000 0.000 3.733 0.000 0.000 0.000 3.733" Properties=species:S:1:pos:R:3 pbc="T T T"
N 0.000 0.000 1.866
Tl 1.866 1.866 1.866
N 0.000 1.866 0.000
N 1.866 0.000 0.000
S 0.000 0.000 0.000
```